Record 1
Below is an optimized crystal structure of Be2CoMo, with properties calculated at the PBE-GGA level.

Output
M_tot ... 0.030 μB/atom
Crystal system ... cubic
Calculated total energy ... -6.363 eV per atom

abc: 3.935 3.935 3.935
angles: 60.00 60.00 60.00
Fractional coordinates of all 4 atoms:
Be (0.000, 0.000, 0.000)
Be (0.250, 0.250, 0.250)
Co (0.750, 0.750, 0.750)
Mo (0.500, 0.500, 0.500)

---

Record 2
Below is an optimized crystal structure of BeCoMoPb, with properties calculated at the PBE-GGA level.

Output
M_tot ... 0.653 μB/atom
Crystal system ... cubic
Calculated total energy ... -5.706 eV per atom
Energy above the lowest structure with this stoichiometry ... 0.00 eV per formula unit

abc: 4.354 4.354 4.354
angles: 60.00 60.00 60.00
Fractional coordinates of all 4 atoms:
Be (0.000, 0.000, 0.000)
Co (0.500, 0.500, 0.500)
Mo (0.750, 0.750, 0.750)
Pb (0.250, 0.250, 0.250)

---

Record 3
Below is an optimized crystal structure of BeCoMoPb, with properties calculated at the PBE-GGA level.

Output
M_tot ... 0.498 μB/atom
Crystal system ... cubic
Calculated total energy ... -5.614 eV per atom
Energy above the lowest structure with this stoichiometry ... 0.37 eV per formula unit

abc: 4.395 4.395 4.395
angles: 60.00 60.00 60.00
Fractional coordinates of all 4 atoms:
Be (0.000, 0.000, 0.000)
Co (0.750, 0.750, 0.750)
Mo (0.250, 0.250, 0.250)
Pb (0.500, 0.500, 0.500)

---

Record 4
Below is an optimized crystal structure of RbBeCoMo, with properties calculated at the PBE-GGA level.

Output
M_tot ... 0.967 μB/atom
Crystal system ... cubic
Calculated total energy ... -3.794 eV per atom
Energy above the lowest structure with this stoichiometry ... 0.81 eV per formula unit

abc: 4.563 4.563 4.563
angles: 60.00 60.00 60.00
Fractional coordinates of all 4 atoms:
Rb (0.000, 0.000, 0.000)
Be (0.500, 0.500, 0.500)
Co (0.750, 0.750, 0.750)
Mo (0.250, 0.250, 0.250)

---

Record 5
Below is an optimized crystal structure of RbBeCoMo, with properties calculated at the PBE-GGA level.

Output
M_tot ... 0.000 μB/atom
Crystal system ... cubic
Calculated total energy ... -3.997 eV per atom
Energy above the lowest structure with this stoichiometry ... 0.00 eV per formula unit

abc: 4.471 4.471 4.471
angles: 60.00 60.00 60.00
Fractional coordinates of all 4 atoms:
Rb (0.000, 0.000, 0.000)
Be (0.750, 0.750, 0.750)
Co (0.500, 0.500, 0.500)
Mo (0.250, 0.250, 0.250)

---

Record 6
Below is an optimized crystal structure of BeCoSbMo, with properties calculated at the PBE-GGA level.

Output
M_tot ... 0.392 μB/atom
Crystal system ... cubic
Calculated total energy ... -5.991 eV per atom
Energy above the lowest structure with this stoichiometry ... 0.58 eV per formula unit

abc: 4.296 4.296 4.296
angles: 60.00 60.00 60.00
Fractional coordinates of all 4 atoms:
Be (0.000, 0.000, 0.000)
Co (0.500, 0.500, 0.500)
Sb (0.250, 0.250, 0.250)
Mo (0.750, 0.750, 0.750)

---

Copy entry 6 word for word.
Below is an optimized crystal structure of BeCoSbMo, with properties calculated at the PBE-GGA level.

Output
M_tot ... 0.392 μB/atom
Crystal system ... cubic
Calculated total energy ... -5.991 eV per atom
Energy above the lowest structure with this stoichiometry ... 0.58 eV per formula unit

abc: 4.296 4.296 4.296
angles: 60.00 60.00 60.00
Fractional coordinates of all 4 atoms:
Be (0.000, 0.000, 0.000)
Co (0.500, 0.500, 0.500)
Sb (0.250, 0.250, 0.250)
Mo (0.750, 0.750, 0.750)